1.
20
Lattice="6.4557 0.2683 0.2784 2.3697 7.3587 -0.0582 2.3697 -0.3309 7.3514" Properties=species:S:1:pos:R:3 comment="KMgAs2O6 (PBE-GGA, relaxed)" space_group="C2/c, No. 15" crystal_system=monoclinic e_form_raw_kj_per_mol_atoms=-151.9 pbc="T T T"
K 3.9836 6.4302 0.9707
K 7.2115 0.8658 6.6009
Mg 3.9836 1.4200 5.7985
Mg 7.2115 5.8761 1.7731
As 5.7534 5.5863 4.6680
As 2.2138 2.7041 1.6769
As 5.4417 1.7097 2.9036
As 8.9813 4.5919 5.8947
O 5.5458 6.9530 5.6954
O 2.4214 1.7281 0.2732
O 5.6493 0.3430 1.8763
O 8.7737 5.5679 7.2985
O 5.6955 6.0272 3.0121
O 2.2718 4.3752 1.2977
O 5.4996 1.2688 4.5595
O 8.9233 2.9208 6.2739
O 4.3093 4.5126 4.9849
O 3.6580 2.3476 2.7382
O 6.8858 2.7834 2.5867
O 7.5371 4.9484 4.8334

---

2.
16
Lattice="7.8583 0.0000 0.0000 0.0000 7.8583 0.0000 -3.9292 -3.9292 6.3818" Properties=species:S:1:pos:R:3 comment="TmCd2Hg5 (PBE-GGA, relaxed)" space_group="I4/mcm, No. 140" crystal_system=tetragonal formation_energy_ev_per_fu=-0.7 pbc="T T T"
Tm 3.9292 3.9292 3.1909
Tm 0.0000 0.0000 3.1909
Cd 1.1208 2.8084 0.0000
Cd 5.0500 1.1208 0.0000
Cd 2.8083 6.7375 0.0000
Cd 6.7375 5.0500 0.0000
Hg 1.2049 2.7242 4.3341
Hg 5.1341 -1.2049 2.0477
Hg 0.0000 0.0000 0.0000
Hg 3.9292 3.9292 0.0000
Hg -1.2049 5.1341 4.3341
Hg 2.7242 -1.2049 4.3341
Hg 5.1341 1.2049 4.3341
Hg 1.2049 5.1341 2.0477
Hg -1.2049 2.7242 2.0477
Hg 2.7242 1.2049 2.0477

---

3.
8
Lattice="-6.2284 0.8320 -0.5068 2.4442 -2.4034 5.2907 2.7342 6.4273 -0.5033" Properties=species:S:1:pos:R:3 comment="ErSn6Pd (PBE-GGA, relaxed)" space_group="C2/m, No. 12" crystal_system=monoclinic formation_energy_ev_per_fu=-1.9 pbc="T T T"
Er 0.0000 0.0000 0.0000
Sn 0.9513 4.2877 0.9698
Sn -2.6843 1.7778 0.2979
Sn -2.0013 0.5683 3.3109
Sn -2.3358 4.5592 1.3288
Sn 1.6343 3.0781 3.9828
Sn 1.2858 0.2967 2.9518
Pd -0.5250 2.4280 2.1403

---

4.
5
Lattice="3.9250 -0.0020 1.3524 -0.4695 3.8955 1.3556 -0.0117 -0.0183 6.3770" Properties=species:S:1:pos:R:3 comment="HoGa3Au (PBE-GGA, relaxed)" space_group="Fmm2, No. 42" crystal_system=orthorhombic formation_energy_ev_per_fu=-2.6 pbc="T T T"
Ho 1.4375 0.7456 6.6715
Ga 2.1101 3.7219 4.7148
Ga 0.3861 1.7721 3.3610
Ga 2.8372 2.3268 2.6278
Au -0.3403 3.1682 5.4548

---

5.
5
Lattice="5.1893 0.0000 0.0000 0.0000 5.1893 0.0000 0.0000 0.0000 5.4140" Properties=species:S:1:pos:R:3 comment="SrTlZnCd2 (PBE-GGA, relaxed)" space_group="P4/mmm, No. 123" crystal_system=tetragonal formation_energy_ev_per_fu=-0.2 pbc="T T T"
Sr 2.5946 2.5946 2.7070
Tl 0.0000 0.0000 2.7070
Zn 0.0000 0.0000 0.0000
Cd 0.0000 2.5946 0.0000
Cd 2.5946 0.0000 0.0000

---

6.
5
Lattice="5.4775 0.0000 0.0000 0.0000 5.4775 0.0000 0.0000 0.0000 5.6408" Properties=species:S:1:pos:R:3 comment="GaHgTe2I (PBE-GGA, relaxed)" space_group="P4/mmm, No. 123" crystal_system=tetragonal e_form_raw_kj_per_mol_atoms=20.5 pbc="T T T"
I 0.0000 0.0000 2.8204
Te 0.0000 2.7388 0.0000
Te 2.7388 0.0000 0.0000
Hg 2.7388 2.7388 2.8204
Ga 0.0000 0.0000 0.0000

---

7.
4
Lattice="-1.8353 -0.5154 -2.7370 1.6464 -2.8445 -0.5689 -5.6024 -4.1502 4.5384" Properties=species:S:1:pos:R:3 comment="Ca2PIr (PBE-GGA, relaxed)" space_group="P4mm, No. 99" crystal_system=tetragonal formation_energy_ev_per_fu=-1.3 pbc="T T T"
Ca -5.1876 -3.8429 4.2023
Ca -1.8801 -3.0027 -0.2065
Ir -3.2401 -2.4003 2.6248
P -3.8872 -4.4896 1.4194

---

8.
4
Lattice="-5.2582 -1.6375 0.6417 -3.5811 -3.0980 2.8844 -1.6572 3.6279 3.6017" Properties=species:S:1:pos:R:3 comment="Sc2TaPb (PBE-GGA, relaxed)" space_group="Cm, No. 8" crystal_system=monoclinic formation_energy_ev_per_fu=0.3 pbc="T T T"
Pb -7.9760 -0.8391 5.4179
Sc -1.7264 3.4980 3.5688
Sc -2.5431 -0.1075 1.8316
Ta -5.1564 -0.5848 3.4750

---

9.
9
Lattice="-1.2136 5.2281 1.7391 -4.6502 -1.9270 2.5480 6.5824 -1.9720 10.5218" Properties=species:S:1:pos:R:3 comment="CsTl5InPb2 (PBE-GGA, relaxed)" space_group="P4/mmm, No. 123" crystal_system=tetragonal formation_energy_ev_per_fu=1.4 pbc="T T T"
Cs 0.3593 0.6645 7.4044
Tl 3.2912 -0.9860 5.2609
Tl 3.3641 -2.6680 10.3681
Tl 0.2863 2.3465 2.2972
Tl -1.4320 -1.2311 2.7016
Tl 5.0824 0.9096 9.9637
In 0.0000 0.0000 0.0000
Pb 1.7552 -0.5259 2.8057
Pb 4.8272 -1.4462 7.7161

---

10.
5
Lattice="-1.1068 1.3886 -3.5050 1.1160 -3.3685 -1.6870 -3.6011 -1.4707 0.5545" Properties=species:S:1:pos:R:3 comment="AlPdN3 (PBE-GGA, relaxed)" space_group="Pm-3m, No. 221" crystal_system=cubic e_form_raw_kj_per_mol_atoms=177.3 pbc="T T T"
Al -1.7959 -1.7253 -2.3187
Pd 0.0000 0.0000 0.0000
N 0.5580 -1.6843 -0.8435
N -1.8005 -0.7354 0.2773
N -0.5534 0.6943 -1.7525

---

11.
4
Lattice="4.9752 0.0000 0.0000 2.4876 4.3087 0.0000 2.4876 1.4362 4.0623" Properties=species:S:1:pos:R:3 comment="PrZrAgRh (PBE-GGA, relaxed)" space_group="F-43m, No. 216" crystal_system=cubic formation_energy_ev_per_fu=-1.0 pbc="T T T"
Pr 0.0000 0.0000 0.0000
Rh 7.4629 4.3087 3.0467
Zr 4.9752 2.8725 2.0311
Ag 2.4876 1.4362 1.0156

---

12.
5
Lattice="6.0332 0.0000 0.0000 0.0000 6.0332 0.0000 0.0000 0.0000 6.0944" Properties=species:S:1:pos:R:3 comment="SnSbPbI2 (PBE-GGA, relaxed)" space_group="P4/mmm, No. 123" crystal_system=tetragonal e_form_raw_kj_per_mol_atoms=35.6 pbc="T T T"
Pb 0.0000 0.0000 0.0000
I 0.0000 3.0166 0.0000
I 3.0166 0.0000 0.0000
Sn 3.0166 3.0166 3.0472
Sb 0.0000 0.0000 3.0472